Record 1
{
  "formula": "Ba2Ga2Cl",
  "functional": "PBE",
  "state": "relaxed",
  "lattice_angstrom": [[4.012, 0.000, 0.000], [0.000, 4.012, 0.000], [2.006, 2.006, 9.713]],
  "species": ["Ba", "Ba", "Cl", "Ga", "Ga"],
  "fractional_positions": [[0.394, 0.394, 0.212], [0.606, 0.606, 0.788], [0.000, 0.000, 0.000], [0.250, 0.750, 0.500], [0.750, 0.250, 0.500]],
  "raw_formation_energy_kj_per_mol_atoms": -70.8,
  "magnetic_moment_mub_per_cell": 0.0,
  "space_group": "I4/mmm, No. 139",
  "dos_ef_per_ev_cell": 4.5
}

Record 2
{
  "formula": "TbNd3Sm6Y2",
  "functional": "PBE",
  "state": "relaxed",
  "lattice_angstrom": [[-2.637, 3.864, -4.202], [4.228, -4.263, -1.869], [-9.217, -7.711, 0.260]],
  "species": ["Tb", "Nd", "Nd", "Nd", "Sm", "Sm", "Sm", "Sm", "Sm", "Sm", "Y", "Y"],
  "fractional_positions": [[0.000, 0.000, 0.000], [0.167, 0.833, 0.500], [0.833, 0.167, 0.500], [0.500, 0.500, 0.500], [0.917, 0.585, 0.753], [0.415, 0.083, 0.247], [0.250, 0.250, 0.753], [0.750, 0.750, 0.247], [0.585, 0.917, 0.753], [0.083, 0.415, 0.247], [0.333, 0.667, 0.000], [0.667, 0.333, 0.000]],
  "magnetic_moment_mub_per_cell": 0.0,
  "formation_enthalpy_0k_ev_per_atom": 0.01,
  "space_group": "C2/m, No. 12",
  "dos_ef_per_ev_cell": 16.9
}

Record 3
{
  "formula": "RbAlIr2S",
  "functional": "PBE",
  "state": "relaxed",
  "lattice_angstrom": [[-0.612, -2.862, -3.373], [-1.814, -4.060, 3.774], [-4.200, 1.445, -0.464]],
  "species": ["Rb", "Ir", "Ir", "S", "Al"],
  "fractional_positions": [[0.000, 0.500, 0.000], [0.500, 0.000, 0.000], [0.000, 0.000, 0.500], [0.000, 0.000, 0.000], [0.500, 0.500, 0.500]],
  "raw_formation_energy_kj_per_mol_atoms": 75.4,
  "magnetic_moment_mub_per_cell": 0.4,
  "space_group": "P4/mmm, No. 123",
  "dos_ef_per_ev_cell": 2.7
}

Record 4
{
  "formula": "TlCoAgCl4",
  "functional": "PBE",
  "state": "relaxed",
  "lattice_angstrom": [[-0.841, 2.808, -6.512], [1.694, -6.288, -2.930], [-4.915, 0.508, 4.770]],
  "species": ["Ag", "Cl", "Cl", "Cl", "Cl", "Co", "Tl"],
  "fractional_positions": [[0.500, 0.500, 0.000], [0.909, 0.471, 0.271], [0.201, 0.091, 0.729], [0.361, 0.799, 0.271], [0.529, 0.639, 0.729], [0.250, 0.750, 0.500], [0.000, 0.000, 0.000]],
  "raw_formation_energy_kj_per_mol_atoms": -63.7,
  "magnetic_moment_mub_per_cell": 3.0,
  "space_group": "I-4, No. 82"
}

Record 5
{
  "formula": "Sc2HgMo",
  "functional": "PBE",
  "state": "relaxed",
  "lattice_angstrom": [[5.449, -0.012, -0.115], [2.324, 4.928, 0.115], [-3.852, -2.512, 2.924]],
  "species": ["Mo", "Sc", "Sc", "Hg"],
  "fractional_positions": [[0.750, 0.250, 0.500], [0.250, 0.750, 0.500], [0.001, 0.001, 0.000], [0.499, 0.499, 0.000]],
  "magnetic_moment_mub_per_cell": 0.0,
  "formation_enthalpy_0k_ev_per_atom": 0.00,
  "space_group": "Imm2, No. 44",
  "dos_ef_per_ev_cell": 1.4
}

Record 6
{
  "formula": "TbUSi2",
  "functional": "PBE",
  "state": "relaxed",
  "lattice_angstrom": [[4.101, 0.000, 0.000], [2.051, 3.552, 0.000], [2.051, 1.184, 6.555]],
  "species": ["Tb", "Si", "Si", "U"],
  "fractional_positions": [[0.500, 0.500, 0.500], [0.256, 0.256, 0.231], [0.744, 0.744, 0.769], [0.000, 0.000, 0.000]],
  "raw_formation_energy_kj_per_mol_atoms": -23.6,
  "magnetic_moment_mub_per_cell": 0.8,
  "space_group": "R-3m, No. 166",
  "dos_ef_per_ev_cell": 5.7
}

Record 7
{
  "formula": "NiHg2IrI",
  "functional": "PBE",
  "state": "relaxed",
  "lattice_angstrom": [[5.261, 0.000, 0.000], [0.000, 5.319, 0.000], [0.000, 0.000, 5.261]],
  "species": ["I", "Ni", "Ir", "Hg", "Hg"],
  "fractional_positions": [[0.000, 0.500, 0.000], [0.500, 0.500, 0.500], [0.000, 0.000, 0.000], [0.000, 0.000, 0.500], [0.500, 0.000, 0.000]],
  "raw_formation_energy_kj_per_mol_atoms": 95.4,
  "magnetic_moment_mub_per_cell": 1.0,
  "space_group": "P4/mmm, No. 123",
  "dos_ef_per_ev_cell": 10.4
}

Record 8
{
  "formula": "TlWBr2",
  "functional": "PBE",
  "state": "relaxed",
  "lattice_angstrom": [[-4.896, -1.052, -0.615], [-3.496, 3.366, 1.380], [-2.682, 2.436, -3.512]],
  "species": ["Br", "Br", "W", "Tl"],
  "fractional_positions": [[0.750, 0.750, 0.750], [0.250, 0.250, 0.250], [0.000, 0.000, 0.000], [0.500, 0.500, 0.500]],
  "raw_formation_energy_kj_per_mol_atoms": 108.3,
  "magnetic_moment_mub_per_cell": 1.1,
  "relative_energy_mev_per_atom": 872,
  "space_group": "Fm-3m, No. 225",
  "dos_ef_per_ev_cell": 2.5
}

Record 9
{
  "formula": "Pr5Tm2Ga4",
  "functional": "PBE",
  "state": "relaxed",
  "lattice_angstrom": [[-3.130, 0.263, -1.682], [3.342, -1.993, -6.529], [-2.987, -13.954, 7.154]],
  "species": ["Pr", "Pr", "Pr", "Pr", "Pr", "Ga", "Ga", "Ga", "Ga", "Tm", "Tm"],
  "fractional_positions": [[0.811, 0.048, 0.623], [0.189, 0.952, 0.377], [0.811, 0.575, 0.623], [0.189, 0.425, 0.377], [0.500, 0.000, 0.000], [0.268, 0.268, 0.536], [0.000, 0.333, 0.000], [0.000, 0.667, 0.000], [0.732, 0.732, 0.464], [0.912, 0.912, 0.823], [0.088, 0.088, 0.177]],
  "magnetic_moment_mub_per_cell": 0.0,
  "formation_enthalpy_0k_ev_per_atom": 0.30,
  "space_group": "Immm, No. 71",
  "dos_ef_per_ev_cell": 16.4
}

Record 10
{
  "formula": "PmMg2H8Os",
  "functional": "PBE",
  "state": "relaxed",
  "lattice_angstrom": [[4.489, 0.000, 0.000], [-2.245, 3.888, 0.000], [0.000, 0.000, 6.552]],
  "species": ["Mg", "Mg", "H", "H", "H", "H", "H", "H", "H", "H", "Pm", "Os"],
  "fractional_positions": [[0.333, 0.667, 0.861], [0.667, 0.333, 0.139], [0.831, 0.169, 0.831], [0.831, 0.663, 0.831], [0.333, 0.667, 0.560], [0.169, 0.337, 0.169], [0.663, 0.831, 0.169], [0.169, 0.831, 0.169], [0.337, 0.169, 0.831], [0.667, 0.333, 0.440], [0.000, 0.000, 0.500], [0.000, 0.000, 0.000]],
  "magnetic_moment_mub_per_cell": 0.0,
  "space_group": "P-3m1, No. 164",
  "dos_ef_per_ev_cell": 2.9,
  "dft_energy_ev_per_atom": -4.178
}

Record 11
{
  "formula": "Cs2CaZnBi2",
  "functional": "PBE",
  "state": "relaxed",
  "lattice_angstrom": [[-6.578, 0.253, -3.384], [3.272, -2.030, -6.510], [0.291, -7.728, 6.950]],
  "species": ["Ca", "Ca", "Cs", "Cs", "Cs", "Cs", "Bi", "Bi", "Bi", "Bi", "Zn", "Zn"],
  "fractional_positions": [[0.000, 0.250, 0.000], [0.000, 0.750, 0.000], [0.085, 0.326, 0.653], [0.915, 0.674, 0.347], [0.432, 0.174, 0.347], [0.568, 0.826, 0.653], [0.190, 0.911, 0.823], [0.367, 0.589, 0.177], [0.810, 0.089, 0.177], [0.633, 0.411, 0.823], [0.500, 0.750, 0.000], [0.500, 0.250, 0.000]],
  "magnetic_moment_mub_per_cell": 0.0,
  "formation_enthalpy_0k_ev_per_atom": -0.48,
  "space_group": "Ibam, No. 72"
}

Record 12
{
  "formula": "Te2CIBr",
  "functional": "PBE",
  "state": "relaxed",
  "lattice_angstrom": [[5.747, 0.000, 0.000], [0.000, 5.747, 0.000], [0.000, 0.000, 5.835]],
  "species": ["Br", "I", "C", "Te", "Te"],
  "fractional_positions": [[0.000, 0.000, 0.000], [0.000, 0.000, 0.500], [0.500, 0.500, 0.500], [0.500, 0.000, 0.000], [0.000, 0.500, 0.000]],
  "raw_formation_energy_kj_per_mol_atoms": 201.9,
  "magnetic_moment_mub_per_cell": 0.2,
  "relative_energy_mev_per_atom": 1013,
  "space_group": "P4/mmm, No. 123",
  "dos_ef_per_ev_cell": 8.7
}

Record 13
{
  "formula": "MnBBr2",
  "functional": "PBE",
  "state": "relaxed",
  "lattice_angstrom": [[-5.371, 2.035, -1.688], [-2.644, -4.192, 3.358], [-4.042, 2.092, 4.765]],
  "species": ["Br", "Br", "Br", "Br", "Mn", "Mn", "B", "B"],
  "fractional_positions": [[0.875, 0.915, 0.750], [0.085, 0.625, 0.250], [0.375, 0.335, 0.750], [0.665, 0.125, 0.250], [0.000, 0.000, 0.000], [0.750, 0.250, 0.500], [0.250, 0.750, 0.500], [0.500, 0.500, 0.000]],
  "raw_formation_energy_kj_per_mol_atoms": 127.6,
  "magnetic_moment_mub_per_cell": 0.0,
  "relative_energy_mev_per_atom": 389,
  "space_group": "I-42d, No. 122",
  "dos_ef_per_ev_cell": 1.4
}

Record 14
{
  "formula": "Li2LaZr",
  "functional": "PBE",
  "state": "relaxed",
  "lattice_angstrom": [[-0.539, 5.377, -0.858], [-1.953, 0.199, 2.477], [4.146, 1.018, 3.773]],
  "species": ["La", "Zr", "Li", "Li"],
  "fractional_positions": [[0.500, 0.750, 0.750], [0.500, 0.250, 0.250], [0.000, 0.984, 0.033], [0.000, 0.516, 0.467]],
  "magnetic_moment_mub_per_cell": 0.0,
  "formation_enthalpy_0k_ev_per_atom": 0.27,
  "relative_energy_mev_per_atom": 113,
  "space_group": "P2/m, No. 10",
  "dos_ef_per_ev_cell": 4.4
}

Record 15
{
  "formula": "BaP2ClF",
  "functional": "PBE",
  "state": "relaxed",
  "lattice_angstrom": [[4.324, 0.000, 0.000], [0.000, 4.324, 0.000], [0.000, 0.000, 6.162]],
  "species": ["P", "P", "Ba", "Cl", "F"],
  "fractional_positions": [[0.500, 0.000, 0.000], [0.000, 0.500, 0.000], [0.500, 0.500, 0.500], [0.000, 0.000, 0.500], [0.000, 0.000, 0.000]],
  "raw_formation_energy_kj_per_mol_atoms": -63.4,
  "magnetic_moment_mub_per_cell": 0.2,
  "relative_energy_mev_per_atom": 0,
  "space_group": "P4/mmm, No. 123",
  "dos_ef_per_ev_cell": 3.9
}

Record 16
{
  "formula": "ScAl2Co",
  "functional": "PBE",
  "state": "relaxed",
  "lattice_angstrom": [[2.860, -2.708, -1.926], [-0.147, -4.301, 0.839], [-1.366, -2.792, -3.093]],
  "species": ["Al", "Al", "Co", "Sc"],
  "fractional_positions": [[0.250, 0.250, 0.250], [0.750, 0.750, 0.750], [0.500, 0.500, 0.500], [0.000, 0.000, 0.000]],
  "magnetic_moment_mub_per_cell": 0.1,
  "formation_enthalpy_0k_ev_per_atom": -0.35,
  "space_group": "Fm-3m, No. 225",
  "dos_ef_per_ev_cell": 1.9
}

Record 17
{
  "formula": "ThAl2Zn",
  "functional": "PBE",
  "state": "relaxed",
  "lattice_angstrom": [[3.208, 0.000, 0.000], [0.000, 5.561, -0.773], [0.000, -2.066, 5.221]],
  "species": ["Th", "Zn", "Al", "Al"],
  "fractional_positions": [[0.000, 0.945, 0.055], [0.500, 0.445, 0.555], [0.500, 0.445, 0.055], [0.500, 0.945, 0.555]],
  "magnetic_moment_mub_per_cell": 0.2,
  "formation_enthalpy_0k_ev_per_atom": -0.13,
  "space_group": "Cmmm, No. 65",
  "dos_ef_per_ev_cell": 2.8
}

Record 18
{
  "formula": "Mg2TlCdCl",
  "functional": "PBE",
  "state": "relaxed",
  "lattice_angstrom": [[-0.766, 2.025, -5.026], [-5.325, -2.372, -0.144], [-2.094, 4.571, 2.161]],
  "species": ["Mg", "Mg", "Cd", "Cl", "Tl"],
  "fractional_positions": [[0.000, 0.000, 0.500], [0.500, 0.000, 0.000], [0.500, 0.500, 0.500], [0.000, 0.500, 0.000], [0.000, 0.000, 0.000]],
  "raw_formation_energy_kj_per_mol_atoms": 4.0,
  "magnetic_moment_mub_per_cell": 0.0,
  "space_group": "P4/mmm, No. 123",
  "dos_ef_per_ev_cell": 0.7
}

Record 19
{
  "formula": "Sm2MnAl2Pd5",
  "functional": "PBE",
  "state": "relaxed",
  "lattice_angstrom": [[-3.222, -1.121, -0.193], [1.433, -5.595, 8.585], [-3.132, 8.015, 5.746]],
  "species": ["Pd", "Pd", "Pd", "Pd", "Pd", "Pd", "Pd", "Pd", "Pd", "Pd", "Sm", "Sm", "Sm", "Sm", "Al", "Al", "Al", "Al", "Mn", "Mn"],
  "fractional_positions": [[0.500, 0.000, 0.500], [0.500, 0.943, 0.201], [0.500, 0.057, 0.799], [0.500, 0.500, 0.000], [0.500, 0.701, 0.443], [0.500, 0.299, 0.557], [0.500, 0.201, 0.057], [0.500, 0.443, 0.299], [0.500, 0.799, 0.943], [0.500, 0.557, 0.701], [0.000, 0.324, 0.824], [0.000, 0.824, 0.676], [0.000, 0.176, 0.324], [0.000, 0.676, 0.176], [0.000, 0.625, 0.875], [0.000, 0.375, 0.125], [0.000, 0.125, 0.625], [0.000, 0.875, 0.375], [0.000, 0.500, 0.500], [0.000, 0.000, 0.000]],
  "magnetic_moment_mub_per_cell": 7.7,
  "formation_enthalpy_0k_ev_per_atom": -0.64,
  "space_group": "P4/mbm, No. 127",
  "dos_ef_per_ev_cell": 11.7
}

Record 20
{
  "formula": "SrCeInGa",
  "functional": "PBE",
  "state": "relaxed",
  "lattice_angstrom": [[-0.014, -0.070, 5.472], [-4.626, -1.096, 2.710], [-0.546, -4.743, 2.675]],
  "species": ["In", "Ce", "Sr", "Ga"],
  "fractional_positions": [[0.750, 0.750, 0.750], [0.000, 0.000, 0.000], [0.500, 0.500, 0.500], [0.250, 0.250, 0.250]],
  "magnetic_moment_mub_per_cell": 0.9,
  "formation_enthalpy_0k_ev_per_atom": -0.32,
  "space_group": "F-43m, No. 216",
  "dos_ef_per_ev_cell": 7.8
}

Record 21
{
  "formula": "Hf3InPb",
  "functional": "PBE",
  "state": "relaxed",
  "lattice_angstrom": [[-1.563, -10.452, -0.224], [2.219, -6.469, -5.902], [4.393, -6.999, 3.650]],
  "species": ["Hf", "Hf", "Hf", "Hf", "Hf", "Hf", "Hf", "Hf", "Hf", "Hf", "Hf", "Hf", "Pb", "Pb", "Pb", "Pb", "In", "In", "In", "In"],
  "fractional_positions": [[0.152, 0.018, 0.787], [0.922, 0.339, 0.104], [0.078, 0.661, 0.896], [0.578, 0.896, 0.661], [0.652, 0.787, 0.018], [0.520, 0.435, 0.205], [0.848, 0.982, 0.213], [0.980, 0.795, 0.565], [0.422, 0.104, 0.339], [0.020, 0.205, 0.435], [0.348, 0.213, 0.982], [0.480, 0.565, 0.795], [0.850, 0.462, 0.753], [0.650, 0.247, 0.538], [0.150, 0.538, 0.247], [0.350, 0.753, 0.462], [0.250, 0.346, 0.654], [0.750, 0.105, 0.895], [0.250, 0.895, 0.105], [0.750, 0.654, 0.346]],
  "magnetic_moment_mub_per_cell": 0.0,
  "formation_enthalpy_0k_ev_per_atom": -0.03,
  "relative_energy_mev_per_atom": 0,
  "space_group": "C2/c, No. 15",
  "dos_ef_per_ev_cell": 13.4
}

Record 22
{
  "formula": "BaMn2Te",
  "functional": "PBE",
  "state": "relaxed",
  "lattice_angstrom": [[4.076, 0.000, 0.000], [0.000, 4.055, -0.493], [0.000, 0.794, 6.801]],
  "species": ["Ba", "Mn", "Mn", "Te"],
  "fractional_positions": [[0.500, 0.878, 0.722], [0.500, 0.374, 0.166], [0.000, 0.873, 0.167], [0.000, 0.375, 0.445]],
  "raw_formation_energy_kj_per_mol_atoms": 7.2,
  "magnetic_moment_mub_per_cell": 8.1,
  "space_group": "Pm, No. 6",
  "dos_ef_per_ev_cell": 3.2
}

Record 23
{
  "formula": "Rb2SeIBr6",
  "functional": "PBE",
  "state": "relaxed",
  "lattice_angstrom": [[-3.765, 1.024, 7.026], [5.263, -4.936, 3.539], [4.356, 2.782, 6.526]],
  "species": ["Br", "Br", "Br", "Br", "Br", "Br", "Rb", "Rb", "I", "Se"],
  "fractional_positions": [[0.736, 0.264, 0.000], [0.264, 0.264, 0.000], [0.736, 0.736, 0.000], [0.264, 0.736, 0.000], [0.715, 0.715, 0.570], [0.285, 0.285, 0.430], [0.750, 0.250, 0.500], [0.250, 0.750, 0.500], [0.000, 0.000, 0.000], [0.500, 0.500, 0.000]],
  "raw_formation_energy_kj_per_mol_atoms": -70.8,
  "magnetic_moment_mub_per_cell": 0.0,
  "space_group": "I4/mmm, No. 139",
  "dos_ef_per_ev_cell": 2.4
}

Record 24
{
  "formula": "Sr3Ir",
  "functional": "PBE",
  "state": "relaxed",
  "lattice_angstrom": [[-0.092, 7.211, -1.333], [-6.200, -3.892, -0.451], [-1.978, 1.926, 10.559]],
  "species": ["Sr", "Sr", "Sr", "Sr", "Sr", "Sr", "Sr", "Sr", "Sr", "Sr", "Sr", "Sr", "Ir", "Ir", "Ir", "Ir"],
  "fractional_positions": [[0.500, 0.000, 0.500], [0.500, 0.000, 0.000], [0.849, 0.698, 0.250], [0.849, 0.151, 0.250], [0.000, 0.500, 0.500], [0.698, 0.849, 0.750], [0.500, 0.500, 0.500], [0.151, 0.849, 0.750], [0.302, 0.151, 0.250], [0.000, 0.500, 0.000], [0.151, 0.302, 0.750], [0.500, 0.500, 0.000], [0.333, 0.667, 0.250], [0.667, 0.333, 0.750], [0.000, 0.000, 0.500], [0.000, 0.000, 0.000]],
  "magnetic_moment_mub_per_cell": 0.0,
  "formation_enthalpy_0k_ev_per_atom": 0.19,
  "space_group": "P6_3/mmc, No. 194",
  "dos_ef_per_ev_cell": 11.7
}